(1)
Material: Cs7Ni4F15
Method: DFT, meta-GGA SCAN
State: single point on PBEsol structure

Lattice parameters (Å, degrees): 7.7629 10.7386 11.3481 90.00 92.87 90.00
Closest atoms and distances in Å follow each position.
Fractional positions:
Cs 0.4981 0.6809 0.5277  8 F 2.88-3.07
Cs 0.5019 0.3191 0.4723  8 F 2.88-3.07
Cs 0.4981 0.8191 0.0277  8 F 2.88-3.07
Cs 0.8386 0.3460 0.1952  10 F 2.95-3.08
Cs 0.3295 0.9961 0.6669  10 F 2.98-3.32
Cs 0.1614 0.6540 0.8048  10 F 2.95-3.08
Cs 0.6705 0.0039 0.3331  10 F 2.98-3.32
Cs 0.0000 0.0000 0.0000  10 F 3.00-3.26
Cs 0.8386 0.1540 0.6952  10 F 2.95-3.08
Cs 0.6705 0.4961 0.8331  10 F 2.98-3.32
Cs 0.5019 0.1809 0.9723  8 F 2.88-3.07
Cs 0.0000 0.5000 0.5000  10 F 3.00-3.26
Cs 0.1614 0.8460 0.3048  10 F 2.95-3.08
Cs 0.3295 0.5039 0.1669  10 F 2.98-3.32
Ni 0.2592 0.1719 0.2302  6 F 1.96-2.07
Ni 0.0773 0.3367 0.9277  6 F 1.95-2.04
Ni 0.9227 0.8367 0.5723  6 F 1.95-2.04
Ni 0.7408 0.8281 0.7698  6 F 1.96-2.07
Ni 0.0773 0.1633 0.4277  6 F 1.95-2.04
Ni 0.9227 0.6633 0.0723  6 F 1.95-2.04
Ni 0.2592 0.3281 0.7302  6 F 1.96-2.07
Ni 0.7408 0.6719 0.2698  6 F 1.96-2.07
F 0.6670 0.5256 0.3568  1 Ni 1.96
F 0.1703 0.1891 0.8367  2 Ni 2.04-2.06
F 0.6670 0.9744 0.8568  1 Ni 1.96
F 0.6873 0.5916 0.1062  2 Ni 2.04-2.07
F 0.1491 0.7627 0.5558  1 Ni 1.95
F 0.3127 0.4084 0.8938  2 Ni 2.04-2.07
F 0.8297 0.6891 0.6633  2 Ni 2.04-2.06
F 0.9801 0.6015 0.2399  2 Ni 2.04-2.05
F 0.4882 0.2524 0.7223  1 Ni 1.96
F 0.9801 0.8985 0.7399  2 Ni 2.04-2.05
F 0.8297 0.8109 0.1633  2 Ni 2.04-2.06
F 0.3127 0.0916 0.3938  2 Ni 2.04-2.07
F 0.1687 0.2658 0.0835  2 Ni 2.02-2.04
F 0.0199 0.3985 0.7601  2 Ni 2.04-2.05
F 0.5118 0.7524 0.7777  1 Ni 1.96
F 0.8313 0.7658 0.4165  2 Ni 2.02-2.04
F 0.0199 0.1015 0.2601  2 Ni 2.04-2.05
F 0.8313 0.7342 0.9165  2 Ni 2.02-2.04
F 0.3330 0.0256 0.1432  1 Ni 1.96
F 0.6873 0.9084 0.6062  2 Ni 2.04-2.07
F 0.1491 0.7373 0.0558  1 Ni 1.95
F 0.8509 0.2373 0.4442  1 Ni 1.95
F 0.1703 0.3109 0.3367  2 Ni 2.04-2.06
F 0.8509 0.2627 0.9442  1 Ni 1.95
F 0.5118 0.7476 0.2777  1 Ni 1.96
F 0.3330 0.4744 0.6432  1 Ni 1.96
F 0.4882 0.2476 0.2223  1 Ni 1.96
F 0.1687 0.2342 0.5835  2 Ni 2.02-2.04
F 0.0000 0.0000 0.5000  2 Ni 2.04
F 0.0000 0.5000 0.0000  2 Ni 2.04

Values from the calculation:
* Fermi-level density of states: 0.0 states/eV per cell
* E: -17.398 eV/atom
* ΔE_f (raw): -6742 kJ/mol of formula units

---

(2)
Material: CsNiPdF5
Method: DFT, meta-GGA SCAN
State: single point on PBEsol structure

Lattice parameters (Å, degrees): 6.3254 7.1804 7.1804 62.86 63.87 63.87
Closest atoms and distances in Å follow each position.
Fractional positions:
Cs 0.3840 0.3660 0.8660  6 F 2.90-3.20
Cs 0.6160 0.6340 0.1340  6 F 2.90-3.20
Ni 0.0000 0.5000 0.5000  6 F 1.97-2.02
Ni 0.0000 0.0000 0.0000  6 F 1.97-2.02
Pd 0.5000 0.0000 0.5000  4 F 1.97
Pd 0.0000 0.0000 0.5000  4 F 1.97
F 0.8884 0.9442 0.8189  1 Ni 1.97, 1 Pd 1.97
F 0.6514 0.0558 0.1811  1 Ni 1.97, 1 Pd 1.97
F 0.1116 0.6811 0.5558  1 Ni 1.97, 1 Pd 1.97
F 0.3486 0.3189 0.4442  1 Ni 1.97, 1 Pd 1.97
F 0.1116 0.0558 0.1811  1 Ni 1.97, 1 Pd 1.97
F 0.3486 0.9442 0.8189  1 Ni 1.97, 1 Pd 1.97
F 0.9286 0.3214 0.8214  2 Ni 2.02
F 0.0714 0.6786 0.1786  2 Ni 2.02
F 0.6514 0.6811 0.5558  1 Ni 1.97, 1 Pd 1.97
F 0.8884 0.3189 0.4442  1 Ni 1.97, 1 Pd 1.97

Values from the calculation:
* E: -15.250 eV/atom
* ΔE_f (raw): -1693 kJ/mol of formula units

---

(3)
Material: CsRbNi2F
Method: DFT, meta-GGA SCAN
State: single point on PBEsol structure

Lattice parameters (Å, degrees): 4.5581 4.5581 8.8634 90.00 90.00 90.00
Closest atoms and distances in Å follow each position.
Fractional positions:
Cs 0.0000 0.0000 0.5000  4 F 3.22
Ni 0.0000 0.5000 0.0000  2 Rb 2.28
Ni 0.5000 0.0000 0.0000  2 Rb 2.28
Rb 0.0000 0.0000 0.0000  4 Ni 2.28
F 0.5000 0.5000 0.5000  4 Cs 3.22

Values from the calculation:
* Fermi-level density of states: 2.7 states/eV per cell
* E: -18.027 eV/atom
* ΔE_f (raw): 415 kJ/mol of formula units

---

(4)
Material: Cs2O2F
Method: DFT, meta-GGA SCAN
State: single point on PBEsol structure

Lattice parameters (Å, degrees): 4.0949 7.8545 7.8545 90.00 90.00 90.00
Closest atoms and distances in Å follow each position.
Fractional positions:
Cs 0.0000 0.2913 0.7913  2 F 2.81
Cs 0.0000 0.7913 0.7087  2 F 2.81
Cs 0.0000 0.7087 0.2087  2 F 2.81
Cs 0.0000 0.2087 0.2913  2 F 2.81
O 0.5000 0.0606 0.5606  1 O 1.35
O 0.5000 0.5606 0.9394  1 O 1.35
O 0.5000 0.9394 0.4394  1 O 1.35
O 0.5000 0.4394 0.0606  1 O 1.35
F 0.0000 0.0000 0.0000  4 Cs 2.81
F 0.0000 0.5000 0.5000  4 Cs 2.81

Values from the calculation:
* E: -19.966 eV/atom
* ΔE_f (raw): -792 kJ/mol of formula units

---

(5)
Material: CsOsO2F
Method: DFT, meta-GGA SCAN
State: single point on PBEsol structure

Lattice parameters (Å, degrees): 4.3434 4.3434 5.1582 90.00 90.00 90.00
Closest atoms and distances in Å follow each position.
Fractional positions:
Cs 0.0000 0.0000 0.0000  4 O 2.17
Os 0.5000 0.5000 0.5000  4 F 3.07, 8 O 3.37
O 0.0000 0.5000 0.0000  2 Cs 2.17
O 0.5000 0.0000 0.0000  2 Cs 2.17
F 0.0000 0.0000 0.5000  2 Cs 2.58

Values from the calculation:
* Fermi-level density of states: 2.9 states/eV per cell
* E: -23.748 eV/atom
* ΔE_f (raw): 671 kJ/mol of formula units

---

(6)
Material: CsPO2F2
Method: DFT, meta-GGA SCAN
State: single point on PBEsol structure

Lattice parameters (Å, degrees): 6.7404 8.0064 8.4663 90.00 90.00 90.00
Closest atoms and distances in Å follow each position.
Fractional positions:
Cs 0.7500 0.8542 0.1402  6 O 3.04-3.23, 1 F 3.24
Cs 0.2500 0.3542 0.3598  6 O 3.04-3.23, 1 F 3.24
Cs 0.2500 0.1458 0.8598  6 O 3.04-3.23, 1 F 3.24
Cs 0.7500 0.6458 0.6402  6 O 3.04-3.23, 1 F 3.24
F 0.7500 0.4439 0.2515  1 P 1.59
F 0.2500 0.9439 0.2485  1 P 1.59
F 0.2500 0.5561 0.7485  1 P 1.59
F 0.7500 0.0561 0.7515  1 P 1.59
F 0.7500 0.4434 0.9713  1 P 1.59
F 0.2500 0.9434 0.5287  1 P 1.59
F 0.2500 0.5566 0.0287  1 P 1.59
F 0.7500 0.0566 0.4713  1 P 1.59
O 0.9434 0.2221 0.1124  1 P 1.49
O 0.0566 0.7221 0.3876  1 P 1.49
O 0.4434 0.7779 0.8876  1 P 1.49
O 0.5566 0.2779 0.6124  1 P 1.49
O 0.0566 0.7779 0.8876  1 P 1.49
O 0.9434 0.2779 0.6124  1 P 1.49
O 0.5566 0.2221 0.1124  1 P 1.49
O 0.4434 0.7221 0.3876  1 P 1.49
P 0.7500 0.3110 0.1113  2 O 1.49, 2 F 1.59
P 0.2500 0.8110 0.3887  2 O 1.49, 2 F 1.59
P 0.2500 0.6890 0.8887  2 O 1.49, 2 F 1.59
P 0.7500 0.1890 0.6113  2 O 1.49, 2 F 1.59

Values from the calculation:
* Fermi-level density of states: 0.0 states/eV per cell
* E: -14.012 eV/atom
* ΔE_f (raw): -1575 kJ/mol of formula units

---

(7)
Material: CsSbPO4F3
Method: DFT, meta-GGA SCAN
State: single point on PBEsol structure

Lattice parameters (Å, degrees): 5.5526 9.4134 13.0651 102.22 90.00 90.00
Closest atoms and distances in Å follow each position.
Fractional positions:
Cs 0.7500 0.6665 0.8944  1 O 2.86, 6 F 3.09-3.17
Cs 0.2500 0.3335 0.6056  1 O 2.86, 6 F 3.09-3.17
Cs 0.2500 0.3335 0.1056  1 O 2.86, 6 F 3.09-3.17
Cs 0.7500 0.6665 0.3944  1 O 2.86, 6 F 3.09-3.17
Sb 0.7501 0.2195 0.8469  3 F 1.92-1.93, 3 O 2.00-2.01
Sb 0.2501 0.7805 0.6531  3 F 1.92-1.93, 3 O 2.00-2.01
Sb 0.2499 0.7805 0.1531  3 F 1.92-1.93, 3 O 2.00-2.01
Sb 0.7499 0.2195 0.3469  3 F 1.92-1.93, 3 O 2.00-2.01
P 0.7501 0.9392 0.6769  4 O 1.48-1.59
P 0.2501 0.0608 0.8231  4 O 1.48-1.59
P 0.2499 0.0608 0.3231  4 O 1.48-1.59
P 0.7499 0.9392 0.1769  4 O 1.48-1.59
O 0.9732 0.8851 0.6031  1 P 1.59
O 0.4732 0.1149 0.8969  1 P 1.59
O 0.0268 0.1149 0.3969  1 P 1.59
O 0.5268 0.8851 0.1031  1 P 1.59
O 0.5270 0.8851 0.6031  1 P 1.59
O 0.0270 0.1149 0.8969  1 P 1.59
O 0.4730 0.1149 0.3969  1 P 1.59
O 0.9730 0.8851 0.1031  1 P 1.59
O 0.7501 0.1122 0.6975  1 P 1.59
O 0.2501 0.8878 0.8025  1 P 1.59
O 0.2499 0.8878 0.3025  1 P 1.59
O 0.7499 0.1122 0.1975  1 P 1.59
O 0.7501 0.8905 0.7772  1 P 1.48
O 0.2501 0.1095 0.7228  1 P 1.48
O 0.2499 0.1095 0.2228  1 P 1.48
O 0.7499 0.8905 0.2772  1 P 1.48
F 0.7499 0.3313 0.4888  1 Sb 1.93
F 0.2499 0.6687 0.0112  1 Sb 1.93
F 0.2501 0.6687 0.5112  1 Sb 1.93
F 0.7501 0.3313 0.9888  1 Sb 1.93
F 0.9778 0.3580 0.8150  1 Sb 1.92
F 0.4778 0.6420 0.6850  1 Sb 1.92
F 0.0222 0.6420 0.1850  1 Sb 1.92
F 0.5222 0.3580 0.3150  1 Sb 1.92
F 0.5224 0.3580 0.8150  1 Sb 1.92
F 0.0224 0.6420 0.6850  1 Sb 1.92
F 0.4776 0.6420 0.1850  1 Sb 1.92
F 0.9776 0.3580 0.3150  1 Sb 1.92

Values from the calculation:
* Fermi-level density of states: 0.0 states/eV per cell
* E: -14.472 eV/atom
* ΔE_f (raw): -2287 kJ/mol of formula units

---

(8)
Material: CsPbOF2
Method: DFT, meta-GGA SCAN
State: single point on PBEsol structure

Lattice parameters (Å, degrees): 4.2720 4.7604 4.7604 90.00 90.00 90.00
Closest atoms and distances in Å follow each position.
Fractional positions:
Pb 0.0000 0.0000 0.0000  2 O 2.14, 4 F 2.38
Cs 0.5000 0.5000 0.5000  8 F 3.20, 4 O 3.37
O 0.5000 0.0000 0.0000  2 Pb 2.14
F 0.0000 0.0000 0.5000  2 Pb 2.38
F 0.0000 0.5000 0.0000  2 Pb 2.38

Values from the calculation:
* Fermi-level density of states: 0.3 states/eV per cell
* E: -27.459 eV/atom
* ΔE_f (raw): -1003 kJ/mol of formula units

---

(9)
Material: CsPtO2F
Method: DFT, meta-GGA SCAN
State: single point on PBEsol structure

Lattice parameters (Å, degrees): 3.7941 3.7941 6.1469 90.00 90.00 90.00
Closest atoms and distances in Å follow each position.
Fractional positions:
Cs 0.5000 0.5000 0.5000  4 F 2.68
O 0.0000 0.5000 0.0000  2 Pt 1.90
O 0.5000 0.0000 0.0000  2 Pt 1.90
Pt 0.0000 0.0000 0.0000  4 O 1.90
F 0.0000 0.0000 0.5000  4 Cs 2.68

Values from the calculation:
* Fermi-level density of states: 3.6 states/eV per cell
* E: -25.891 eV/atom
* ΔE_f (raw): -526 kJ/mol of formula units

---

(10)
Material: CsPtOF2
Method: DFT, meta-GGA SCAN
State: single point on PBEsol structure

Lattice parameters (Å, degrees): 4.3474 4.9481 4.9481 90.00 90.00 90.00
Closest atoms and distances in Å follow each position.
Fractional positions:
Cs 0.0000 0.0000 0.0000  2 O 2.17
O 0.5000 0.0000 0.0000  2 Cs 2.17
Pt 0.5000 0.5000 0.5000  8 F 3.29, 4 O 3.50
F 0.0000 0.0000 0.5000  2 Cs 2.47
F 0.0000 0.5000 0.0000  2 Cs 2.47

Values from the calculation:
* Fermi-level density of states: 7.9 states/eV per cell
* E: -23.742 eV/atom
* ΔE_f (raw): 251 kJ/mol of formula units

---

(11)
Material: CsReOF6
Method: DFT, meta-GGA SCAN
State: single point on PBEsol structure

Lattice parameters (Å, degrees): 7.1645 7.9549 10.6811 92.44 90.00 90.00
Closest atoms and distances in Å follow each position.
Fractional positions:
Cs 0.7341 0.7824 0.0032  10 F 3.02-3.34, 1 O 3.25
Cs 0.2659 0.2176 0.9968  10 F 3.02-3.34, 1 O 3.25
Cs 0.2341 0.2176 0.4968  10 F 3.02-3.34, 1 O 3.25
Cs 0.7659 0.7824 0.5032  10 F 3.02-3.34, 1 O 3.25
Re 0.7962 0.2799 0.2504  1 O 1.70
Re 0.7038 0.2799 0.7504  1 O 1.70
Re 0.2038 0.7201 0.7496  1 O 1.70
Re 0.2962 0.7201 0.2496  1 O 1.70
O 0.7727 0.4283 0.1413  1 Re 1.70
O 0.2273 0.5717 0.8587  1 Re 1.70
O 0.7273 0.4283 0.6413  1 Re 1.70
O 0.2727 0.5717 0.3587  1 Re 1.70
F 0.0662 0.2851 0.2432  1 Re 1.94
F 0.5662 0.7149 0.2568  1 Re 1.94
F 0.5834 0.1523 0.1949  1 Re 1.91
F 0.3799 0.8915 0.3694  1 Re 1.93
F 0.4338 0.2851 0.7432  1 Re 1.94
F 0.8799 0.1085 0.1306  1 Re 1.93
F 0.6201 0.1085 0.6306  1 Re 1.93
F 0.0869 0.6460 0.1506  1 Re 1.91
F 0.8345 0.1145 0.3763  1 Re 1.94
F 0.9338 0.7149 0.7568  1 Re 1.94
F 0.1150 0.5610 0.6227  1 Re 1.92
F 0.5869 0.3540 0.3494  1 Re 1.91
F 0.4166 0.8477 0.8051  1 Re 1.91
F 0.1201 0.8915 0.8694  1 Re 1.93
F 0.4131 0.6460 0.6506  1 Re 1.91
F 0.8850 0.4390 0.3773  1 Re 1.92
F 0.3345 0.8855 0.1237  1 Re 1.94
F 0.9166 0.1523 0.6949  1 Re 1.91
F 0.1655 0.8855 0.6237  1 Re 1.94
F 0.6150 0.4390 0.8773  1 Re 1.92
F 0.6655 0.1145 0.8763  1 Re 1.94
F 0.9131 0.3540 0.8494  1 Re 1.91
F 0.3850 0.5610 0.1227  1 Re 1.92
F 0.0834 0.8477 0.3051  1 Re 1.91

Values from the calculation:
* Fermi-level density of states: 0.0 states/eV per cell
* E: -17.537 eV/atom
* ΔE_f (raw): -2070 kJ/mol of formula units

---

(12)
Material: CsRuO2F
Method: DFT, meta-GGA SCAN
State: single point on PBEsol structure

Lattice parameters (Å, degrees): 4.3396 4.3396 5.1085 90.00 90.00 90.00
Closest atoms and distances in Å follow each position.
Fractional positions:
Cs 0.0000 0.0000 0.0000  4 O 2.17
Ru 0.5000 0.5000 0.5000  4 F 3.07, 8 O 3.35
O 0.0000 0.5000 0.0000  2 Cs 2.17
O 0.5000 0.0000 0.0000  2 Cs 2.17
F 0.0000 0.0000 0.5000  2 Cs 2.55

Values from the calculation:
* Fermi-level density of states: 4.5 states/eV per cell
* E: -16.932 eV/atom
* ΔE_f (raw): 384 kJ/mol of formula units